Here is a relaxed structure of Li2AgPd from the Alexandria database. Energies are from PBE-GGA.

Output
DFT formation energy = -325 meV per atom
relative energy among the computed polymorphs = 9.9 meV/atom
calculated total energy = -3.292 eV per atom
density of states at the Fermi level = 0.33 states/eV/atom

Unit cell a=4.5216 b=4.5216 c=2.9197 alpha=90.09 beta=90.09 gamma=100.68
Last column: nearest neighbours and their distance in Å.
Positions (direct):
Li 0.0000 0.5000 0.0000  4 Pd 2.69, 4 Ag 2.69, 4 Li 2.89-2.92
Li 0.5000 0.0000 0.0000  4 Pd 2.69, 4 Ag 2.69, 4 Li 2.89-2.92
Ag 0.0000 0.0000 0.5000  8 Li 2.69, 2 Pd 2.89, 2 Ag 2.92
Pd 0.5000 0.5000 0.5000  8 Li 2.69, 2 Ag 2.89, 2 Pd 2.92